[1]
{
  "formula": "MgSn2Pb2",
  "functional": "PBE-GGA",
  "state": "relaxed",
  "e_above_lowest_polymorph_mev_per_atom": 173,
  "cell": [[-3.1260, -2.7837, 1.1847], [2.8610, -3.2738, -0.1433], [1.7262, -1.7506, 8.4287]],
  "species": ["Pb", "Pb", "Mg", "Sn", "Sn"],
  "frac_coords": [[0.4013, 0.4013, 0.1974], [0.5987, 0.5987, 0.8026], [0.0000, 0.0000, 0.0000], [0.7500, 0.2500, 0.5000], [0.2500, 0.7500, 0.5000]]
}

=====

[2]
{
  "formula": "AgH3PtRh",
  "functional": "PBE-GGA",
  "state": "relaxed",
  "dft_energy_ev_per_atom": -4.373,
  "cell": [[2.8407, 0.0000, 0.0000], [0.0000, 6.7652, 0.8814], [0.0000, -0.8858, 6.8816]],
  "species": ["Ag", "Ag", "H", "H", "H", "H", "H", "H", "Pt", "Pt", "Rh", "Rh"],
  "frac_coords": [[0.2500, 0.2111, 0.2214], [0.7500, 0.7889, 0.7786], [0.7500, 0.8119, 0.1224], [0.2500, 0.1881, 0.8776], [0.2500, 0.7090, 0.3704], [0.7500, 0.2910, 0.6296], [0.7500, 0.4679, 0.1371], [0.2500, 0.5321, 0.8629], [0.2500, 0.1190, 0.6224], [0.7500, 0.8810, 0.3776], [0.2500, 0.6363, 0.1147], [0.7500, 0.3637, 0.8853]]
}

=====

[3]
{
  "formula": "La6Ni2Ir",
  "functional": "PBE-GGA",
  "state": "relaxed",
  "dft_energy_ev_per_atom": -5.885,
  "cell": [[6.8546, 0.0000, 0.1017], [0.0000, 7.4031, 0.0000], [0.5393, 0.0000, 10.7002]],
  "species": ["La", "La", "La", "La", "La", "La", "La", "La", "La", "La", "La", "La", "Ni", "Ni", "Ni", "Ni", "Ir", "Ir"],
  "frac_coords": [[0.1658, 0.0619, 0.2493], [0.1775, 0.3235, 0.5864], [0.1686, 0.3181, 0.9267], [0.3314, 0.8181, 0.5733], [0.3225, 0.8235, 0.9136], [0.3342, 0.5619, 0.2507], [0.8342, 0.9381, 0.7507], [0.8225, 0.6765, 0.4136], [0.8314, 0.6819, 0.0733], [0.6686, 0.1819, 0.4267], [0.6775, 0.1765, 0.0864], [0.6658, 0.4381, 0.7493], [0.0513, 0.6109, 0.7787], [0.4487, 0.1109, 0.7213], [0.5513, 0.8891, 0.2787], [0.9487, 0.3891, 0.2213], [0.5000, 0.5000, 0.0000], [0.0000, 0.0000, 0.5000]]
}

=====

[4]
{
  "formula": "TaPd3Au",
  "functional": "PBE-GGA",
  "state": "relaxed",
  "e_above_lowest_polymorph_mev_per_atom": 1814,
  "cell": [[-4.8067, 0.2595, 0.4697], [-0.4975, -3.7411, -3.0247], [0.2010, -3.0543, 3.7447]],
  "species": ["Au", "Pd", "Pd", "Pd", "Ta"],
  "frac_coords": [[0.0000, 0.0000, 0.0000], [0.0000, 0.5000, 0.0000], [0.0000, 0.0000, 0.5000], [0.5000, 0.0000, 0.0000], [0.5000, 0.5000, 0.5000]]
}